[1]
Th3Te: relaxed, PBE.

Results
ΔE_f (raw), eV per atom: -0.193

```
Th3Te
1.0
3.6535 0.0000 0.0000
0.0000 3.7087 0.0000
0.0000 0.0000 10.0118
Th Te
3 1
Cartesian
0.0000 0.0000 0.0000 Th
0.0000 1.8543 2.9919 Th
1.8267 1.8543 7.5031 Th
1.8267 0.0000 4.8413 Te
```

---

[2]
ThTe4: relaxed, PBE.

Results
ΔE_f (raw), eV per atom: -0.026

```
ThTe4
1.0
6.0954 0.0000 0.0000
0.0000 6.0954 0.0000
0.0000 0.0000 6.0954
Th Te
1 4
Cartesian
0.0000 0.0000 0.0000 Th
0.0000 0.0000 3.0477 Te
0.0000 3.0477 0.0000 Te
3.0477 0.0000 0.0000 Te
3.0477 3.0477 3.0477 Te
```

---

[3]
Th3Te: relaxed, PBE.

Results
ΔE_f (raw), eV per atom: -0.341

```
Th3Te
1.0
4.8974 0.0000 0.0000
0.0000 4.8974 0.0000
0.0000 0.0000 4.8974
Th Te
3 1
Cartesian
0.0000 0.0000 2.4487 Th
0.0000 2.4487 0.0000 Th
2.4487 0.0000 0.0000 Th
2.4487 2.4487 2.4487 Te
```

---

[4]
Th3Te2: relaxed, PBE.

Results
ΔE_f (raw), eV per atom: -0.785

```
Th3Te2
1.0
11.6880 0.0000 0.0000
0.0000 3.8654 0.0000
0.0000 0.0000 13.9577
Th Te
12 8
Cartesian
0.9276 0.9664 2.0967 Th
1.5371 2.8991 7.8283 Th
2.1254 0.9664 10.9496 Th
3.7186 2.8991 3.9708 Th
4.3069 0.9664 0.8494 Th
4.9164 2.8991 9.0756 Th
6.7716 0.9664 4.8821 Th
7.3811 2.8991 13.1083 Th
7.9694 0.9664 9.9869 Th
9.5626 2.8991 3.0081 Th
10.1509 0.9664 6.1294 Th
10.7604 2.8991 11.8610 Th
0.6272 2.8991 4.7017 Te
1.9627 2.8991 13.5956 Te
3.8813 0.9664 6.6168 Te
5.2168 0.9664 11.6805 Te
6.4712 2.8991 2.2772 Te
7.8067 2.8991 7.3409 Te
9.7253 0.9664 0.3621 Te
11.0608 0.9664 9.2560 Te
```